# 1
{"formula": "AcErAs2Pd5", "functional": "PBE", "state": "optimized geometry", "space_group": "P4/mmm", "m_tot_mub_per_cell": 0.000, "e_form_ev_per_fu": -6.76, "final_energy_ev_per_atom": -5.632, "cell": [[4.3767, 0.0000, 0.0000], [0.0000, 4.3767, 0.0000], [0.0000, 0.0000, 9.2088]], "species": ["Ac", "Er", "As", "As", "Pd", "Pd", "Pd", "Pd", "Pd"], "frac_coords": [[0.0000, 0.0000, 0.5000], [0.0000, 0.0000, 0.0000], [0.5000, 0.5000, 0.1356], [0.5000, 0.5000, 0.8644], [0.0000, 0.5000, 0.2605], [0.5000, 0.0000, 0.2605], [0.0000, 0.5000, 0.7395], [0.5000, 0.0000, 0.7395], [0.5000, 0.5000, 0.5000]]}

# 2
{"formula": "AcPm2ErAs4", "functional": "PBE", "state": "optimized geometry", "space_group": "P2/m", "m_tot_mub_per_cell": 0.000, "e_form_ev_per_fu": -11.73, "final_energy_ev_per_atom": -6.063, "cell": [[4.2872, 0.0000, 0.0000], [0.0000, 7.4229, -0.1543], [0.0000, 2.6045, 6.9459]], "species": ["Ac", "Pm", "Pm", "Er", "As", "As", "As", "As"], "frac_coords": [[0.5000, 0.5000, 0.0000], [0.0000, 0.0000, 0.0000], [0.5000, 0.0000, 0.5000], [0.0000, 0.5000, 0.5000], [0.0000, 0.7576, 0.7358], [0.0000, 0.2424, 0.2642], [0.5000, 0.7489, 0.2614], [0.5000, 0.2511, 0.7386]]}

# 3
{"formula": "AcPr2ErAs4", "functional": "PBE", "state": "optimized geometry", "space_group": "P2/m", "m_tot_mub_per_cell": 0.000, "e_form_ev_per_fu": -11.64, "final_energy_ev_per_atom": -6.058, "cell": [[4.3231, 0.0000, 0.0000], [0.0000, 7.4806, -0.1545], [0.0000, 2.6258, 7.0022]], "species": ["Ac", "Pr", "Pr", "Er", "As", "As", "As", "As"], "frac_coords": [[0.5000, 0.5000, 0.0000], [0.0000, 0.0000, 0.0000], [0.5000, 0.0000, 0.5000], [0.0000, 0.5000, 0.5000], [0.0000, 0.7534, 0.7371], [0.0000, 0.2466, 0.2629], [0.5000, 0.7450, 0.2627], [0.5000, 0.2550, 0.7373]]}

For each record above, in turn, the calculated Fermi-level density of states values are 0.224, 0.090, 0.089 states/eV per atom.